--- i ---
A relaxed MgCdAu3 crystal. Source: Alexandria via LeMat-Bulk, functional GGA-PBE.

a b c (Å): 4.963 4.963 4.963
angles (deg): 90.00 90.00 90.00
Positions (direct):
Mg1 0.000 0.000 0.000
Au1 0.000 0.500 0.000
Au2 0.000 0.000 0.500
Au3 0.500 0.000 0.000
Cd1 0.500 0.500 0.500

Output
N(E_F)   1.9 states/eV/f.u.
Space group   No. 221
Total magnetic moment   0.00 μB/cell

---

--- ii ---
A relaxed MgCdAu3 crystal. Source: Alexandria via LeMat-Bulk, functional GGA-PBE.

a b c (Å): 4.103 5.066 5.312
angles (deg): 79.88 66.79 65.86
Positions (direct):
Mg1 0.834 0.743 0.608
Cd1 0.005 0.980 0.029
Au1 0.617 0.575 0.205
Au2 0.418 0.375 0.806
Au3 0.215 0.149 0.441

Output
N(E_F)   1.0 states/eV/f.u.
Space group   No. 1
Total magnetic moment   0.00 μB/cell

---

--- iii ---
A relaxed MgCdAu3 crystal. Source: Alexandria via LeMat-Bulk, functional GGA-PBE.

a b c (Å): 6.073 9.228 9.228
angles (deg): 52.71 90.00 90.00
Positions (direct):
Mg1 0.250 0.006 0.994
Mg2 0.750 0.994 0.006
Mg3 0.250 0.601 0.399
Mg4 0.750 0.399 0.601
Cd1 0.750 0.495 0.008
Cd2 0.750 0.992 0.505
Cd3 0.250 0.505 0.992
Cd4 0.250 0.008 0.495
Au1 0.501 0.279 0.934
Au2 0.999 0.066 0.721
Au3 0.499 0.721 0.066
Au4 0.001 0.934 0.279
Au5 0.001 0.721 0.066
Au6 0.499 0.934 0.279
Au7 0.999 0.279 0.934
Au8 0.501 0.066 0.721
Au9 0.500 0.359 0.359
Au10 0.000 0.641 0.641
Au11 0.500 0.641 0.641
Au12 0.000 0.359 0.359

Output
N(E_F)   1.4 states/eV/f.u.
Space group   No. 63
Total magnetic moment   0.00 μB/cell

---

ii wins, 8.0 kJ/mol of atoms ahead of the next structure.